# Ga2NiAu6

A geometry-optimized Ga2NiAu6 structure (GGA-PBE, Alexandria).

a b c (Å): 4.5255 6.9245 7.9826
angles (deg): 114.29 90.00 109.07
Element x y z (fractional)
Au  0.0095  0.0189  0.1850
Au  0.9905  0.9811  0.8150
Au  0.7883  0.5767  0.2064
Au  0.2117  0.4233  0.7936
Au  0.4254  0.8508  0.3135
Au  0.5746  0.1492  0.6865
Ga  0.1860  0.3720  0.1271
Ga  0.8140  0.6280  0.8729
Ni  0.0000  0.0000  0.5000

**ΔE_f**: 0.106 eV per atom
**Volume**: 212.8 Å³ per cell
**Space-group type**: C2/m (12)
**DOS at the Fermi energy**: 0.398 states/eV per atom


# Ga4Ni15Au

A geometry-optimized Ga4Ni15Au structure (GGA-PBE, Alexandria).

a b c (Å): 3.6127 3.6127 17.9929
angles (deg): 90.00 90.00 90.00
Element x y z (fractional)
Ni  0.5000  0.5000  0.7957
Ni  0.5000  0.0000  0.5000
Ni  0.5000  0.5000  0.2043
Ni  0.0000  0.5000  0.8935
Ni  0.0000  0.5000  0.5000
Ni  0.5000  0.5000  0.5990
Ni  0.5000  0.0000  0.3026
Ni  0.5000  0.0000  0.6974
Ni  0.5000  0.0000  0.1065
Ni  0.5000  0.5000  0.0000
Ni  0.0000  0.5000  0.6974
Ni  0.0000  0.5000  0.3026
Ni  0.5000  0.0000  0.8935
Ni  0.5000  0.5000  0.4010
Ni  0.0000  0.5000  0.1065
Ga  0.0000  0.0000  0.2045
Ga  0.0000  0.0000  0.7955
Ga  0.0000  0.0000  0.5983
Ga  0.0000  0.0000  0.4017
Au  0.0000  0.0000  0.0000

**ΔE_f**: -0.204 eV per atom
**Volume**: 234.8 Å³ per cell
**Space-group type**: P4/mmm (123)
**DOS at the Fermi energy**: 1.030 states/eV per atom


# Ga4Ni7Au

A geometry-optimized Ga4Ni7Au structure (GGA-PBE, Alexandria).

a b c (Å): 4.6031 7.7508 5.3813
angles (deg): 80.68 64.68 72.73
Element x y z (fractional)
Ga  0.7419  0.6740  0.8422
Ga  0.5875  0.2260  0.5990
Ga  0.2581  0.3260  0.1578
Ga  0.4125  0.7740  0.4010
Ni  0.7863  0.9129  0.5145
Ni  0.2137  0.0871  0.4855
Ni  0.5000  0.0000  0.0000
Ni  0.9407  0.3521  0.7665
Ni  0.3560  0.5314  0.7565
Ni  0.0593  0.6479  0.2335
Ni  0.6440  0.4686  0.2435
Au  0.0000  0.0000  0.0000

**ΔE_f**: -0.022 eV per atom
**Volume**: 165.6 Å³ per cell
**Space-group type**: C2/m (12)
**DOS at the Fermi energy**: 0.704 states/eV per atom


# Ga2Ni2Au

A geometry-optimized Ga2Ni2Au structure (GGA-PBE, Alexandria).

a b c (Å): 7.0258 7.0258 2.8130
angles (deg): 90.00 90.00 90.00
Element x y z (fractional)
Ni  0.1443  0.6443  0.5000
Ni  0.6443  0.8557  0.5000
Ni  0.3557  0.1443  0.5000
Ni  0.8557  0.3557  0.5000
Ga  0.8519  0.6481  0.0000
Ga  0.6481  0.1481  0.0000
Ga  0.3519  0.8519  0.0000
Ga  0.1481  0.3519  0.0000
Au  0.0000  0.0000  0.0000
Au  0.5000  0.5000  0.0000

**Offset from the most stable computed form**: 9 meV per atom
**ΔE_f**: -0.267 eV per atom
**Volume**: 138.9 Å³ per cell
**Space-group type**: P4/mbm (127)
**DOS at the Fermi energy**: 0.434 states/eV per atom